# CaInCl3 | Alexandria | PBE | optimized geometry
# theoretical density = 2694 kg/m3
# electronic total energy = -3.810 eV/atom
# formation energy from raw total energies = -8.77 eV/f.u.
data_CaInCl3
_cell_length_a 4.138
_cell_length_b 8.882
_cell_length_c 8.880
_cell_angle_alpha 99.30
_cell_angle_beta 90.00
_cell_angle_gamma 90.00
_space_group_name_H-M_alt 'P 1'
_space_group_IT_number 1
loop_
_space_group_symop_operation_xyz
'x,y,z'
loop_
_atom_site_label
_atom_site_type_symbol
_atom_site_fract_x
_atom_site_fract_y
_atom_site_fract_z
Ca1 Ca 0.922 0.459 0.437
Ca2 Ca 0.422 0.119 0.148
In1 In 0.922 0.911 0.602
In2 In 0.422 0.667 0.983
Cl1 Cl 0.422 0.250 0.458
Cl2 Cl 0.922 0.602 0.732
Cl3 Cl 0.922 0.328 0.127
Cl4 Cl 0.922 0.931 0.196
Cl5 Cl 0.422 0.976 0.853
Cl6 Cl 0.422 0.647 0.389

=====

# CaInCl2 | Alexandria | PBE | optimized geometry
# theoretical density = 3644 kg/m3
# electronic total energy = -3.200 eV/atom
# offset from the most stable computed form = 456 meV per atom
# formation energy from raw total energies = -4.37 eV/f.u.
data_CaInCl2
_cell_length_a 4.883
_cell_length_b 4.884
_cell_length_c 4.314
_cell_angle_alpha 90.00
_cell_angle_beta 90.00
_cell_angle_gamma 90.12
_space_group_name_H-M_alt 'P 1'
_space_group_IT_number 1
loop_
_space_group_symop_operation_xyz
'x,y,z'
loop_
_atom_site_label
_atom_site_type_symbol
_atom_site_fract_x
_atom_site_fract_y
_atom_site_fract_z
Ca1 Ca 0.000 0.500 0.500
Cl1 Cl 0.000 0.000 0.000
Cl2 Cl 0.500 0.500 0.000
In1 In 0.500 0.000 0.500

=====

# Ca3In5Cl12 | Alexandria | PBE | optimized geometry
# theoretical density = 2899 kg/m3
# electronic total energy = -3.432 eV/atom
# offset from the most stable computed form = 179 meV per atom
# formation energy from raw total energies = -26.79 eV/f.u.
data_Ca3In5Cl12
_cell_length_a 14.937
_cell_length_b 14.937
_cell_length_c 14.937
_cell_angle_alpha 109.47
_cell_angle_beta 109.47
_cell_angle_gamma 109.47
_space_group_name_H-M_alt 'P 1'
_space_group_IT_number 1
loop_
_space_group_symop_operation_xyz
'x,y,z'
loop_
_atom_site_label
_atom_site_type_symbol
_atom_site_fract_x
_atom_site_fract_y
_atom_site_fract_z
Ca1 Ca 0.750 0.375 0.125
Ca2 Ca 0.875 0.750 0.125
Ca3 Ca 0.375 0.750 0.625
Ca4 Ca 0.250 0.125 0.375
Ca5 Ca 0.875 0.125 0.250
Ca6 Ca 0.375 0.625 0.250
Ca7 Ca 0.625 0.375 0.750
Ca8 Ca 0.125 0.875 0.750
Ca9 Ca 0.750 0.875 0.625
Ca10 Ca 0.625 0.250 0.375
Ca11 Ca 0.125 0.250 0.875
Ca12 Ca 0.250 0.625 0.875
In1 In 0.125 0.375 0.250
In2 In 0.000 0.500 0.000
In3 In 0.000 0.000 0.000
In4 In 0.375 0.250 0.125
In5 In 0.500 0.000 0.500
In6 In 0.500 0.500 0.000
In7 In 0.125 0.750 0.375
In8 In 0.750 0.125 0.875
In9 In 0.750 0.625 0.375
In10 In 0.375 0.125 0.750
In11 In 0.625 0.875 0.250
In12 In 0.500 0.500 0.500
In13 In 0.500 0.000 0.000
In14 In 0.000 0.000 0.500
In15 In 0.250 0.375 0.625
In16 In 0.250 0.875 0.125
In17 In 0.000 0.500 0.500
In18 In 0.875 0.250 0.625
In19 In 0.625 0.750 0.875
In20 In 0.875 0.625 0.750
Cl1 Cl 0.735 0.127 0.068
Cl2 Cl 0.334 0.568 0.441
Cl3 Cl 0.932 0.373 0.265
Cl4 Cl 0.568 0.235 0.127
Cl5 Cl 0.607 0.735 0.666
Cl6 Cl 0.932 0.559 0.166
Cl7 Cl 0.334 0.765 0.393
Cl8 Cl 0.059 0.893 0.127
Cl9 Cl 0.559 0.932 0.666
Cl10 Cl 0.735 0.607 0.166
Cl11 Cl 0.765 0.432 0.373
Cl12 Cl 0.834 0.941 0.068
Cl13 Cl 0.127 0.735 0.568
Cl14 Cl 0.373 0.441 0.107
Cl15 Cl 0.107 0.941 0.373
Cl16 Cl 0.393 0.127 0.559
Cl17 Cl 0.107 0.166 0.235
Cl18 Cl 0.432 0.666 0.059
Cl19 Cl 0.834 0.893 0.265
Cl20 Cl 0.127 0.393 0.059
Cl21 Cl 0.373 0.932 0.765
Cl22 Cl 0.559 0.627 0.393
Cl23 Cl 0.941 0.834 0.568
Cl24 Cl 0.765 0.334 0.893
Cl25 Cl 0.441 0.373 0.607
Cl26 Cl 0.059 0.166 0.432
Cl27 Cl 0.235 0.666 0.107
Cl28 Cl 0.166 0.107 0.735
Cl29 Cl 0.627 0.068 0.235
Cl30 Cl 0.873 0.607 0.941
Cl31 Cl 0.568 0.334 0.941
Cl32 Cl 0.607 0.873 0.441
Cl33 Cl 0.893 0.834 0.765
Cl34 Cl 0.893 0.059 0.627
Cl35 Cl 0.873 0.265 0.432
Cl36 Cl 0.166 0.059 0.932
Cl37 Cl 0.627 0.559 0.893
Cl38 Cl 0.441 0.068 0.334
Cl39 Cl 0.265 0.393 0.834
Cl40 Cl 0.235 0.568 0.627
Cl41 Cl 0.941 0.107 0.873
Cl42 Cl 0.666 0.235 0.607
Cl43 Cl 0.432 0.765 0.873
Cl44 Cl 0.068 0.441 0.834
Cl45 Cl 0.393 0.265 0.334
Cl46 Cl 0.068 0.627 0.735
Cl47 Cl 0.666 0.432 0.559
Cl48 Cl 0.265 0.873 0.932

=====

# Ca2InCl2 | Alexandria | PBE | optimized geometry
# theoretical density = 3023 kg/m3
# electronic total energy = -3.415 eV/atom
# formation energy from raw total energies = -6.64 eV/f.u.
data_Ca2InCl2
_cell_length_a 4.566
_cell_length_b 4.566
_cell_length_c 7.713
_cell_angle_alpha 72.78
_cell_angle_beta 72.78
_cell_angle_gamma 90.00
_space_group_name_H-M_alt 'P 1'
_space_group_IT_number 1
loop_
_space_group_symop_operation_xyz
'x,y,z'
loop_
_atom_site_label
_atom_site_type_symbol
_atom_site_fract_x
_atom_site_fract_y
_atom_site_fract_z
Ca1 Ca 0.369 0.369 0.263
Ca2 Ca 0.631 0.631 0.737
Cl1 Cl 0.750 0.250 0.500
Cl2 Cl 0.250 0.750 0.500
In1 In 0.000 0.000 0.000

=====

# CaInCl2 | Alexandria | PBE | optimized geometry
# theoretical density = 2988 kg/m3
# electronic total energy = -3.469 eV/atom
# offset from the most stable computed form = 187 meV per atom
# formation energy from raw total energies = -5.44 eV/f.u.
data_CaInCl2
_cell_length_a 6.288
_cell_length_b 6.288
_cell_length_c 6.288
_cell_angle_alpha 144.92
_cell_angle_beta 116.42
_cell_angle_gamma 74.74
_space_group_name_H-M_alt 'P 1'
_space_group_IT_number 1
loop_
_space_group_symop_operation_xyz
'x,y,z'
loop_
_atom_site_label
_atom_site_type_symbol
_atom_site_fract_x
_atom_site_fract_y
_atom_site_fract_z
Ca1 Ca 0.250 0.750 0.500
Cl1 Cl 0.063 0.063 0.000
Cl2 Cl 0.437 0.437 0.000
In1 In 0.750 0.250 0.500

=====

# Ca2In5Cl12 | Alexandria | PBE | optimized geometry
# theoretical density = 3078 kg/m3
# electronic total energy = -3.451 eV/atom
# formation energy from raw total energies = -25.71 eV/f.u.
data_Ca2In5Cl12
_cell_length_a 9.011
_cell_length_b 8.358
_cell_length_c 9.124
_cell_angle_alpha 117.26
_cell_angle_beta 105.55
_cell_angle_gamma 90.00
_space_group_name_H-M_alt 'P 1'
_space_group_IT_number 1
loop_
_space_group_symop_operation_xyz
'x,y,z'
loop_
_atom_site_label
_atom_site_type_symbol
_atom_site_fract_x
_atom_site_fract_y
_atom_site_fract_z
Ca1 Ca 0.986 0.743 0.991
Ca2 Ca 0.986 0.248 0.991
In1 In 0.617 0.276 0.553
In2 In 0.212 0.318 0.635
In3 In 0.492 0.001 0.001
In4 In 0.898 0.700 0.399
In5 In 0.403 0.710 0.420
Cl1 Cl 0.188 0.996 0.991
Cl2 Cl 0.878 0.064 0.638
Cl3 Cl 0.878 0.575 0.638
Cl4 Cl 0.442 0.093 0.768
Cl5 Cl 0.442 0.675 0.768
Cl6 Cl 0.792 0.515 0.029
Cl7 Cl 0.184 0.492 0.985
Cl8 Cl 0.547 0.907 0.234
Cl9 Cl 0.547 0.327 0.234
Cl10 Cl 0.102 0.888 0.346
Cl11 Cl 0.102 0.458 0.346
Cl12 Cl 0.800 0.014 0.029